VASP calculation (GGA+U) on an optimized crystal structure of RbTl2CrF8.

a = 5.529 Å, b = 5.766 Å, c = 6.712 Å
α = 89.14°, β = 89.43°, γ = 82.56°
Sites, in units of the cell vectors:
Rb: 0.000 0.000 0.000
Tl: 0.463 0.457 0.288
Tl: 0.537 0.543 0.712
Cr: 0.000 0.000 0.500
F: 0.109 0.736 0.326
F: 0.168 0.207 0.335
F: 0.287 0.911 0.666
F: 0.371 0.338 0.976
F: 0.629 0.662 0.024
F: 0.713 0.089 0.334
F: 0.832 0.793 0.665
F: 0.891 0.264 0.674

Results
VASP energy (eV per atom): -4.595
Symmetry: P-1, No. 2